La2Ir2Pd | PBE-GGA | optimized geometry

Lattice parameters (Å, degrees): 7.420 7.420 4.096 90.00 90.00 90.00
Positions (direct):
La 0.180 0.320 0.000
La 0.320 0.820 0.000
La 0.680 0.180 0.000
La 0.820 0.680 0.000
Ir 0.128 0.628 0.500
Ir 0.372 0.128 0.500
Ir 0.628 0.872 0.500
Ir 0.872 0.372 0.500
Pd 0.000 0.000 0.500
Pd 0.500 0.500 0.500

Properties
ΔE_f in eV per atom: -0.59
Symmetry: P4/mbm, No. 127
Polymorph energy (0 for the lowest one) in meV per atom: 0

***

Rb4PmDy3Se8 | PBE-GGA | optimized geometry

Lattice parameters (Å, degrees): 9.397 9.397 9.397 54.04 54.04 54.04
Positions (direct):
Rb 0.000 0.000 0.000
Rb 0.000 0.500 0.500
Rb 0.500 0.000 0.500
Rb 0.500 0.500 0.000
Pm 0.500 0.500 0.500
Dy 0.000 0.000 0.500
Dy 0.000 0.500 0.000
Dy 0.500 0.000 0.000
Se 0.227 0.735 0.735
Se 0.232 0.232 0.232
Se 0.265 0.265 0.773
Se 0.265 0.773 0.265
Se 0.735 0.227 0.735
Se 0.735 0.735 0.227
Se 0.768 0.768 0.768
Se 0.773 0.265 0.265

Properties
Symmetry: R-3m, No. 166
Formation energy (no corrections) in eV per atom: -1.738

***

Number 1: ρ 11.32 Mg/m³, magnetization 0.000 μB/f.u.. Number 2: ρ 5.28 Mg/m³, magnetization 0.000 μB/f.u..